The following is a DFT calculation (PBE) of an optimized crystal structure of Ac2SmZn6.

Geometry as CIF:
```
data_Ac2SmZn6
_space_group_name_H-M_alt 'P 1'
_space_group_IT_number 1
_cell_length_a 8.072
_cell_length_b 8.072
_cell_length_c 3.826
_cell_angle_alpha 90.00
_cell_angle_beta 90.00
_cell_angle_gamma 120.00
loop_
_space_group_symop_operation_xyz
'x,y,z'
loop_
_atom_site_label
_atom_site_type_symbol
_atom_site_fract_x
_atom_site_fract_y
_atom_site_fract_z
_atom_site_occupancy
Ac1 Ac 0.333 0.667 0.000 1
Ac2 Ac 0.667 0.333 0.000 1
Sm1 Sm 0.000 0.000 0.000 1
Zn1 Zn 0.000 0.324 0.500 1
Zn2 Zn 0.000 0.676 0.500 1
Zn3 Zn 0.324 0.000 0.500 1
Zn4 Zn 0.324 0.324 0.500 1
Zn5 Zn 0.676 0.000 0.500 1
Zn6 Zn 0.676 0.676 0.500 1
```

=====

The following is a DFT calculation (PBE) of an optimized crystal structure of Pa3CoNi8.

Geometry as CIF:
```
data_Pa3CoNi8
_space_group_name_H-M_alt 'P 1'
_space_group_IT_number 1
_cell_length_a 8.684
_cell_length_b 8.684
_cell_length_c 8.684
_cell_angle_alpha 32.83
_cell_angle_beta 32.83
_cell_angle_gamma 32.83
loop_
_space_group_symop_operation_xyz
'x,y,z'
loop_
_atom_site_label
_atom_site_type_symbol
_atom_site_fract_x
_atom_site_fract_y
_atom_site_fract_z
_atom_site_occupancy
Pa1 Pa 0.000 0.000 0.000 1
Pa2 Pa 0.131 0.131 0.131 1
Pa3 Pa 0.606 0.606 0.606 1
Co1 Co 0.491 0.491 0.491 1
Ni1 Ni 0.056 0.056 0.561 1
Ni2 Ni 0.056 0.561 0.056 1
Ni3 Ni 0.062 0.559 0.559 1
Ni4 Ni 0.309 0.309 0.309 1
Ni5 Ni 0.559 0.062 0.559 1
Ni6 Ni 0.559 0.559 0.062 1
Ni7 Ni 0.561 0.056 0.056 1
Ni8 Ni 0.808 0.808 0.808 1
```

=====

The following is a DFT calculation (PBE) of an optimized crystal structure of Al2TcHgGe.

Geometry as CIF:
```
data_Al2TcHgGe
_space_group_name_H-M_alt 'P 1'
_space_group_IT_number 1
_cell_length_a 4.813
_cell_length_b 4.813
_cell_length_c 4.735
_cell_angle_alpha 90.00
_cell_angle_beta 90.00
_cell_angle_gamma 90.00
loop_
_space_group_symop_operation_xyz
'x,y,z'
loop_
_atom_site_label
_atom_site_type_symbol
_atom_site_fract_x
_atom_site_fract_y
_atom_site_fract_z
_atom_site_occupancy
Al1 Al 0.000 0.500 0.000 1
Al2 Al 0.500 0.000 0.000 1
Tc1 Tc 0.000 0.000 0.500 1
Hg1 Hg 0.500 0.500 0.500 1
Ge1 Ge 0.000 0.000 0.000 1
```

=====

The following is a DFT calculation (PBE) of an optimized crystal structure of Dy2Y8Tl.

Geometry as CIF:
```
data_Dy2Y8Tl
_space_group_name_H-M_alt 'P 1'
_space_group_IT_number 1
_cell_length_a 10.124
_cell_length_b 10.124
_cell_length_c 6.451
_cell_angle_alpha 94.93
_cell_angle_beta 94.93
_cell_angle_gamma 31.97
loop_
_space_group_symop_operation_xyz
'x,y,z'
loop_
_atom_site_label
_atom_site_type_symbol
_atom_site_fract_x
_atom_site_fract_y
_atom_site_fract_z
_atom_site_occupancy
Dy1 Dy 0.243 0.243 0.336 1
Dy2 Dy 0.757 0.757 0.664 1
Y1 Y 0.045 0.045 0.266 1
Y2 Y 0.155 0.155 0.802 1
Y3 Y 0.338 0.338 0.876 1
Y4 Y 0.422 0.422 0.401 1
Y5 Y 0.578 0.578 0.599 1
Y6 Y 0.662 0.662 0.124 1
Y7 Y 0.845 0.845 0.198 1
Y8 Y 0.955 0.955 0.734 1
Tl1 Tl 0.500 0.500 0.000 1
```

=====

# PBE PrBO2, optimized geometry
data_PrBO2
_space_group_name_H-M_alt 'P 1'
_space_group_IT_number 1
_cell_length_a 6.802
_cell_length_b 6.802
_cell_length_c 6.802
_cell_angle_alpha 23.96
_cell_angle_beta 23.96
_cell_angle_gamma 23.96
loop_
_space_group_symop_operation_xyz
'x,y,z'
loop_
_atom_site_label
_atom_site_type_symbol
_atom_site_fract_x
_atom_site_fract_y
_atom_site_fract_z
_atom_site_occupancy
Pr1 Pr 0.000 0.000 0.000 1
B1 B 0.500 0.500 0.500 1
O1 O 0.123 0.123 0.123 1
O2 O 0.877 0.877 0.877 1
# formation energy (no corrections)	-538	meV per atom

=====

# PBE Mg5Sb4, optimized geometry
data_Mg5Sb4
_space_group_name_H-M_alt 'P 1'
_space_group_IT_number 1
_cell_length_a 7.371
_cell_length_b 7.371
_cell_length_c 7.371
_cell_angle_alpha 95.35
_cell_angle_beta 95.35
_cell_angle_gamma 144.43
loop_
_space_group_symop_operation_xyz
'x,y,z'
loop_
_atom_site_label
_atom_site_type_symbol
_atom_site_fract_x
_atom_site_fract_y
_atom_site_fract_z
_atom_site_occupancy
Mg1 Mg 0.000 0.000 0.000 1
Mg2 Mg 0.332 0.332 0.664 1
Mg3 Mg 0.332 0.668 0.000 1
Mg4 Mg 0.668 0.332 0.000 1
Mg5 Mg 0.668 0.668 0.336 1
Sb1 Sb 0.000 0.297 0.297 1
Sb2 Sb 0.000 0.703 0.703 1
Sb3 Sb 0.297 0.000 0.297 1
Sb4 Sb 0.703 0.000 0.703 1
# offset from the most stable computed form	66	meV per atom
# formation energy (no corrections)	-133	meV per atom

=====

# PBE Tb3Dy2PuS6, optimized geometry
data_Tb3Dy2PuS6
_space_group_name_H-M_alt 'P 1'
_space_group_IT_number 1
_cell_length_a 8.772
_cell_length_b 8.772
_cell_length_c 7.873
_cell_angle_alpha 102.97
_cell_angle_beta 102.97
_cell_angle_gamma 25.74
loop_
_space_group_symop_operation_xyz
'x,y,z'
loop_
_atom_site_label
_atom_site_type_symbol
_atom_site_fract_x
_atom_site_fract_y
_atom_site_fract_z
_atom_site_occupancy
Tb1 Tb 0.000 0.000 0.000 1
Tb2 Tb 0.335 0.335 0.665 1
Tb3 Tb 0.665 0.665 0.335 1
Dy1 Dy 0.336 0.336 0.171 1
Dy2 Dy 0.664 0.664 0.829 1
Pu1 Pu 0.000 0.000 0.500 1
S1 S 0.168 0.168 0.082 1
S2 S 0.168 0.168 0.586 1
S3 S 0.500 0.500 0.248 1
S4 S 0.500 0.500 0.752 1
S5 S 0.832 0.832 0.414 1
S6 S 0.832 0.832 0.918 1
# formation energy (no corrections)	-1987	meV per atom

=====

The following is a DFT calculation (PBE) of an optimized crystal structure of Er11Tl9Ni4.

Geometry as CIF:
```
data_Er11Tl9Ni4
_space_group_name_H-M_alt 'P 1'
_space_group_IT_number 1
_cell_length_a 13.026
_cell_length_b 13.026
_cell_length_c 3.668
_cell_angle_alpha 90.00
_cell_angle_beta 90.00
_cell_angle_gamma 112.62
loop_
_space_group_symop_operation_xyz
'x,y,z'
loop_
_atom_site_label
_atom_site_type_symbol
_atom_site_fract_x
_atom_site_fract_y
_atom_site_fract_z
_atom_site_occupancy
Er1 Er 0.000 0.000 0.000 1
Er2 Er 0.086 0.418 0.000 1
Er3 Er 0.162 0.838 0.000 1
Er4 Er 0.313 0.313 0.000 1
Er5 Er 0.375 0.625 0.000 1
Er6 Er 0.418 0.086 0.000 1
Er7 Er 0.582 0.914 0.000 1
Er8 Er 0.625 0.375 0.000 1
Er9 Er 0.687 0.687 0.000 1
Er10 Er 0.838 0.162 0.000 1
Er11 Er 0.914 0.582 0.000 1
Tl1 Tl 0.072 0.218 0.500 1
Tl2 Tl 0.152 0.630 0.500 1
Tl3 Tl 0.218 0.072 0.500 1
Tl4 Tl 0.370 0.848 0.500 1
Tl5 Tl 0.500 0.500 0.500 1
Tl6 Tl 0.630 0.152 0.500 1
Tl7 Tl 0.782 0.928 0.500 1
Tl8 Tl 0.848 0.370 0.500 1
Tl9 Tl 0.928 0.782 0.500 1
Ni1 Ni 0.250 0.450 0.500 1
Ni2 Ni 0.450 0.250 0.500 1
Ni3 Ni 0.550 0.750 0.500 1
Ni4 Ni 0.750 0.550 0.500 1
```

=====

# PBE Ag3TeC, optimized geometry
data_Ag3TeC
_space_group_name_H-M_alt 'P 1'
_space_group_IT_number 1
_cell_length_a 4.509
_cell_length_b 4.509
_cell_length_c 4.509
_cell_angle_alpha 90.00
_cell_angle_beta 90.00
_cell_angle_gamma 90.00
loop_
_space_group_symop_operation_xyz
'x,y,z'
loop_
_atom_site_label
_atom_site_type_symbol
_atom_site_fract_x
_atom_site_fract_y
_atom_site_fract_z
_atom_site_occupancy
Ag1 Ag 0.000 0.000 0.500 1
Ag2 Ag 0.000 0.500 0.000 1
Ag3 Ag 0.500 0.000 0.000 1
Te1 Te 0.500 0.500 0.500 1
C1 C 0.000 0.000 0.000 1
# offset from the most stable computed form	0	meV per atom
# formation energy (no corrections)	870	meV per atom

=====

# PBE SiPbCl2, optimized geometry
data_SiPbCl2
_space_group_name_H-M_alt 'P 1'
_space_group_IT_number 1
_cell_length_a 4.648
_cell_length_b 4.648
_cell_length_c 4.357
_cell_angle_alpha 90.00
_cell_angle_beta 90.00
_cell_angle_gamma 90.00
loop_
_space_group_symop_operation_xyz
'x,y,z'
loop_
_atom_site_label
_atom_site_type_symbol
_atom_site_fract_x
_atom_site_fract_y
_atom_site_fract_z
_atom_site_occupancy
Si1 Si 0.000 0.000 0.000 1
Pb1 Pb 0.500 0.500 0.000 1
Cl1 Cl 0.000 0.500 0.500 1
Cl2 Cl 0.500 0.000 0.500 1
# offset from the most stable computed form	404	meV per atom
# formation energy (no corrections)	21	meV per atom

=====

The following is a DFT calculation (PBE) of an optimized crystal structure of EuThPdPt.

Geometry as CIF:
```
data_EuThPdPt
_space_group_name_H-M_alt 'P 1'
_space_group_IT_number 1
_cell_length_a 5.106
_cell_length_b 5.106
_cell_length_c 5.106
_cell_angle_alpha 60.00
_cell_angle_beta 60.00
_cell_angle_gamma 60.00
loop_
_space_group_symop_operation_xyz
'x,y,z'
loop_
_atom_site_label
_atom_site_type_symbol
_atom_site_fract_x
_atom_site_fract_y
_atom_site_fract_z
_atom_site_occupancy
Eu1 Eu 0.000 0.000 0.000 1
Th1 Th 0.500 0.500 0.500 1
Pd1 Pd 0.750 0.750 0.750 1
Pt1 Pt 0.250 0.250 0.250 1
```

=====

The following is a DFT calculation (PBE) of an optimized crystal structure of AcZnGe4.

Geometry as CIF:
```
data_AcZnGe4
_space_group_name_H-M_alt 'P 1'
_space_group_IT_number 1
_cell_length_a 5.735
_cell_length_b 5.735
_cell_length_c 5.735
_cell_angle_alpha 60.00
_cell_angle_beta 60.00
_cell_angle_gamma 60.00
loop_
_space_group_symop_operation_xyz
'x,y,z'
loop_
_atom_site_label
_atom_site_type_symbol
_atom_site_fract_x
_atom_site_fract_y
_atom_site_fract_z
_atom_site_occupancy
Ac1 Ac 0.000 0.000 0.000 1
Zn1 Zn 0.250 0.250 0.250 1
Ge1 Ge 0.127 0.624 0.624 1
Ge2 Ge 0.624 0.127 0.624 1
Ge3 Ge 0.624 0.624 0.127 1
Ge4 Ge 0.624 0.624 0.624 1
```

=====

no.,total magnetization (μB per formula unit),final energy (eV per cell)
1,0.00,-23.31
2,0.00,-86.19
3,1.57,-18.52
4,0.00,-63.72
5,0.00,-23.52
6,0.00,-25.66
7,5.89,-86.04
8,0.01,-104.18
9,0.00,-16.57
10,0.00,-12.74
11,7.03,-32.26
12,0.00,-24.83